No. 1
# Zn2GePd2

Zn2GePd2 after structural relaxation (GGA-PBE, Alexandria).

The structure belongs to space group P4/mbm (No. 127); the cell edges are 7.347, 7.347 and 2.943 Å and the angles 90.00°, 90.00° and 90.00°. The inequivalent atoms are Zn at (0.137, 0.363, 0.000), Ge at (0.000, 0.000, 0.000) and Pd at (0.158, 0.658, 0.500).

For the excess energy over the best structure of this formula in the dataset, the calculation gives 54 meV/atom.


No. 2
# Zn2Ge2Pd

Zn2Ge2Pd after structural relaxation (GGA-PBE, Alexandria).

The structure belongs to space group P4/mbm (No. 127); the cell edges are 6.759, 6.759 and 3.726 Å and the angles 90.00°, 90.00° and 90.00°. The inequivalent atoms are Zn at (0.136, 0.364, 0.000), Ge at (0.168, 0.668, 0.500) and Pd at (0.000, 0.000, 0.000).

For the excess energy over the best structure of this formula in the dataset, the calculation gives 57 meV/atom.


No. 3
# ZnGe3Pd

ZnGe3Pd after structural relaxation (GGA-PBE, Alexandria).

The structure belongs to space group Pm-3m (No. 221); the cell edges are 4.753, 4.753 and 4.753 Å and the angles 90.00°, 90.00° and 90.00°. The inequivalent atoms are Zn at (0.000, 0.000, 0.000), Ge at (0.000, 0.000, 0.500) and Pd at (0.500, 0.500, 0.500).

For the excess energy over the best structure of this formula in the dataset, the calculation gives 275 meV/atom.


No. 4
# Zn5GePd8

Zn5GePd8 after structural relaxation (GGA-PBE, Alexandria).

The structure belongs to space group I-4 (No. 82); the cell edges are 7.441, 7.441 and 7.828 Å and the angles 90.00°, 90.00° and 90.00°. The inequivalent atoms are Zn at (0.000, 0.000, 0.000), Zn at (0.117, 0.724, 0.663), Ge at (0.000, 0.500, 0.250), Pd at (0.072, 0.822, 0.339) and Pd at (0.080, 0.679, 0.991).

The total energy is -4.14 eV/atom.


No. 5
# Zn2Ge2Pd

Zn2Ge2Pd after structural relaxation (GGA-PBE, Alexandria).

The structure belongs to space group I4/mmm (No. 139); the cell edges are 3.515, 3.515 and 14.389 Å and the angles 90.00°, 90.00° and 90.00°. The inequivalent atoms are Zn at (0.000, 0.500, 0.250), Ge at (0.000, 0.000, 0.094) and Pd at (0.000, 0.000, 0.500).

For the excess energy over the best structure of this formula in the dataset, the calculation gives 154 meV/atom.


No. 6
# ZnGePd5

ZnGePd5 after structural relaxation (GGA-PBE, Alexandria).

The structure belongs to space group C2/c (No. 15); the cell edges are 9.745, 8.382 and 7.650 Å and the angles 90.00°, 127.42° and 90.00°. The inequivalent atoms are Zn at (0.000, 0.226, 0.250), Ge at (0.250, 0.250, 0.000), Pd at (0.000, 0.072, 0.750), Pd at (0.127, 0.492, 0.477) and Pd at (0.215, 0.186, 0.657).

For the excess energy over the best structure of this formula in the dataset, the calculation gives 314 meV/atom.


No. 7
# Zn2GePd2

Zn2GePd2 after structural relaxation (GGA-PBE, Alexandria).

The structure belongs to space group I4/mmm (No. 139); the cell edges are 3.443, 3.443 and 13.552 Å and the angles 90.00°, 90.00° and 90.00°. The inequivalent atoms are Zn at (0.000, 0.500, 0.250), Ge at (0.000, 0.000, 0.000) and Pd at (0.000, 0.000, 0.400).

For the excess energy over the best structure of this formula in the dataset, the calculation gives 100 meV/atom.


No. 8
# Zn2GePd4

Zn2GePd4 after structural relaxation (GGA-PBE, Alexandria).

The structure belongs to space group I4/mmm (No. 139); the cell edges are 6.111, 6.111 and 5.898 Å and the angles 90.00°, 90.00° and 90.00°. The inequivalent atoms are Zn at (0.000, 0.500, 0.000), Ge at (0.000, 0.000, 0.000) and Pd at (0.250, 0.250, 0.250).

For the excess energy over the best structure of this formula in the dataset, the calculation gives 0 meV/atom.


No. 9
# Zn4GePd7

Zn4GePd7 after structural relaxation (GGA-PBE, Alexandria).

The structure belongs to space group C2/m (No. 12); the cell edges are 11.661, 4.602 and 8.973 Å and the angles 90.00°, 124.73° and 90.00°. The inequivalent atoms are Zn at (0.075, 0.000, 0.277), Zn at (0.222, 0.000, 0.840), Ge at (0.000, 0.500, 0.500), Pd at (0.000, 0.000, 0.500), Pd at (0.075, 0.500, 0.816), Pd at (0.142, 0.000, 0.059) and Pd at (0.213, 0.500, 0.385).

The total energy is -4.11 eV/atom.


No. 10
# Zn2Ge2Pd7

Zn2Ge2Pd7 after structural relaxation (GGA-PBE, Alexandria).

The structure belongs to space group Cmmm (No. 65); the cell edges are 5.687, 9.170 and 6.956 Å and the angles 90.00°, 90.00° and 90.00°. The inequivalent atoms are Zn at (0.000, 0.224, 0.000), Ge at (0.225, 0.500, 0.500), Pd at (0.000, 0.000, 0.219), Pd at (0.000, 0.500, 0.000) and Pd at (0.250, 0.250, 0.305).

The total energy is -4.60 eV/atom.


No. 11
# ZnGePd5

ZnGePd5 after structural relaxation (GGA-PBE, Alexandria).

The structure belongs to space group P4/mmm (No. 123); the cell edges are 4.047, 4.047 and 6.756 Å and the angles 90.00°, 90.00° and 90.00°. The inequivalent atoms are Zn at (0.000, 0.000, 0.000), Ge at (0.500, 0.500, 0.500), Pd at (0.000, 0.500, 0.280) and Pd at (0.500, 0.500, 0.000).

For the excess energy over the best structure of this formula in the dataset, the calculation gives 0 meV/atom.


No. 12
# Zn2Ge5Pd12

Zn2Ge5Pd12 after structural relaxation (GGA-PBE, Alexandria).

The structure belongs to space group C2/m (No. 12); the cell edges are 14.337, 5.515 and 8.412 Å and the angles 90.00°, 105.83° and 90.00°. The inequivalent atoms are Zn at (0.000, 0.242, 0.000), Ge at (0.000, 0.000, 0.500), Ge at (0.158, 0.500, 0.853), Ge at (0.193, 0.500, 0.362), Pd at (0.013, 0.500, 0.308), Pd at (0.080, 0.000, 0.279), Pd at (0.153, 0.252, 0.594) and Pd at (0.189, 0.249, 0.109).

The total energy is -4.98 eV/atom.


No. 13
# ZnGe3Pd

ZnGe3Pd after structural relaxation (GGA-PBE, Alexandria).

The structure belongs to space group Pm-3m (No. 221); the cell edges are 4.868, 4.868 and 4.868 Å and the angles 90.00°, 90.00° and 90.00°. The inequivalent atoms are Zn at (0.000, 0.000, 0.000), Ge at (0.000, 0.500, 0.500) and Pd at (0.500, 0.500, 0.500).

For the excess energy over the best structure of this formula in the dataset, the calculation gives 0 meV/atom.


No. 14
# Zn2GePd8

Zn2GePd8 after structural relaxation (GGA-PBE, Alexandria).

The structure belongs to space group Immm (No. 71); the cell edges are 4.222, 7.055 and 11.352 Å and the angles 90.00°, 90.00° and 90.00°. The inequivalent atoms are Zn at (0.000, 0.000, 0.198), Ge at (0.000, 0.000, 0.500), Pd at (0.000, 0.186, 0.000), Pd at (0.000, 0.278, 0.346) and Pd at (0.000, 0.500, 0.140).

For the excess energy over the best structure of this formula in the dataset, the calculation gives 41 meV/atom.


No. 15
# Zn2Ge2Pd

Zn2Ge2Pd after structural relaxation (GGA-PBE, Alexandria).

The structure belongs to space group P4/mbm (No. 127); the cell edges are 6.538, 6.538 and 4.048 Å and the angles 90.00°, 90.00° and 90.00°. The inequivalent atoms are Zn at (0.177, 0.323, 0.000), Ge at (0.139, 0.639, 0.500) and Pd at (0.000, 0.000, 0.500).

For the excess energy over the best structure of this formula in the dataset, the calculation gives 0 meV/atom.


No. 16
# ZnGe2Pd9

ZnGe2Pd9 after structural relaxation (GGA-PBE, Alexandria).

The structure belongs to space group P4/mmm (No. 123); the cell edges are 3.921, 3.921 and 11.823 Å and the angles 90.00°, 90.00° and 90.00°. The inequivalent atoms are Zn at (0.000, 0.000, 0.000), Ge at (0.000, 0.000, 0.329), Pd at (0.000, 0.500, 0.168), Pd at (0.000, 0.500, 0.500), Pd at (0.500, 0.500, 0.000) and Pd at (0.500, 0.500, 0.335).

The total energy is -5.12 eV/atom.


No. 17
# ZnGe2Pd6

ZnGe2Pd6 after structural relaxation (GGA-PBE, Alexandria).

The structure belongs to space group P4_2/mnm (No. 136); the cell edges are 7.994, 7.994 and 4.223 Å and the angles 90.00°, 90.00° and 90.00°. The inequivalent atoms are Zn at (0.000, 0.000, 0.000), Ge at (0.200, 0.200, 0.500), Pd at (0.023, 0.321, 0.000) and Pd at (0.128, 0.872, 0.500).

The total energy is -5.06 eV/atom.


No. 18
# Zn3GePd

Zn3GePd after structural relaxation (GGA-PBE, Alexandria).

The structure belongs to space group Pm-3m (No. 221); the cell edges are 4.762, 4.762 and 4.762 Å and the angles 90.00°, 90.00° and 90.00°. The inequivalent atoms are Zn at (0.000, 0.000, 0.500), Ge at (0.500, 0.500, 0.500) and Pd at (0.000, 0.000, 0.000).

For the excess energy over the best structure of this formula in the dataset, the calculation gives 0 meV/atom.


No. 19
# ZrGePd

ZrGePd after structural relaxation (GGA-PBE, Alexandria).

The structure belongs to space group P2_1/m (No. 11); the cell edges are 6.764, 3.992 and 11.622 Å and the angles 90.00°, 90.19° and 90.00°. The inequivalent atoms are Zr at (0.029, 0.250, 0.208), Zr at (0.339, 0.750, 0.579), Zr at (0.468, 0.750, 0.878), Ge at (0.248, 0.250, 0.415), Ge at (0.248, 0.750, 0.085), Ge at (0.263, 0.250, 0.750), Pd at (0.004, 0.250, 0.590), Pd at (0.144, 0.250, 0.960) and Pd at (0.370, 0.750, 0.295).

The total energy is -7.02 eV/atom.


No. 20
# ZrGe2Pd7

ZrGe2Pd7 after structural relaxation (GGA-PBE, Alexandria).

The structure belongs to space group Cmmm (No. 65); the cell edges are 7.364, 12.238 and 4.323 Å and the angles 90.00°, 90.00° and 90.00°. The inequivalent atoms are Zr at (0.000, 0.000, 0.000), Ge at (0.000, 0.305, 0.500), Pd at (0.000, 0.222, 0.000), Pd at (0.000, 0.500, 0.500) and Pd at (0.184, 0.117, 0.500).

For the excess energy over the best structure of this formula in the dataset, the calculation gives 369 meV/atom.


Total magnetic moment readings, ordered: 0.00, 0.00, 0.00, 0.00, 0.00, 0.00, 0.00, 0.00, 0.00, 0.00, 0.00, 0.00, 0.00, 0.00, 0.00, 0.00, 0.00, 0.00, 0.00, 0.00 Bohr magnetons per cell
Fermi-level density of states readings, ordered: 3.646, 5.865, 2.349, 13.048, 5.466, 13.183, 4.021, 5.508, 10.396, 9.920, 4.222, 12.732, 1.784, 14.302, 3.532, 12.185, 8.915, 2.664, 5.898, 9.575 states/eV per cell